Arrangement P

Entry from the Alexandria database: a geometry-optimized PmScCd structure (GGA-PBE).

Calculated values
As for the total magnetic moment: 0.008 μB/f.u. The value obtained for the density of states at the Fermi level is 1.66 states/eV per atom. The calculation puts the theoretical density at 6.1 g/cm3.

Cell lengths 3.6143, 5.1226, 5.1226 Å; angles 120.00, 90.00, 90.00 degrees
Last column: nearest neighbours and their distance in Å.
Positions (direct):
Cd 0.1655 0.3333 0.6667  3 Sc 2.96
Pm 0.6669 0.6667 0.3333  6 Cd 3.46-3.47, 6 Sc 3.46-3.47, 2 Pm 3.61
Sc 0.1675 0.0000 0.0000  3 Cd 2.96

***

Arrangement Q

Entry from the Alexandria database: a geometry-optimized PmScCd structure (GGA-PBE).

Calculated values
As for the total magnetic moment: 0.293 μB/f.u. The value obtained for the density of states at the Fermi level is 1.75 states/eV per atom. The calculation puts the theoretical density at 5.5 g/cm3.

Cell lengths 5.0680, 5.0680, 5.0681 Å; angles 89.97, 120.02, 120.02 degrees
Last column: nearest neighbours and their distance in Å.
Positions (direct):
Cd 0.4444 0.2222 0.6666  4 Sc 3.10, 4 Pm 3.10
Pm 0.9444 0.4722 0.4166  4 Cd 3.10
Sc 0.9444 0.9722 0.9167  4 Cd 3.10

***

Arrangement R

Entry from the Alexandria database: a geometry-optimized PmScCd structure (GGA-PBE).

Calculated values
As for the total magnetic moment: 0.501 μB/f.u. The value obtained for the density of states at the Fermi level is 1.26 states/eV per atom. The calculation puts the theoretical density at 6.3 g/cm3.

Cell lengths 3.4832, 3.4832, 6.9963 Å; angles 104.41, 104.41, 90.00 degrees
Last column: nearest neighbours and their distance in Å.
Positions (direct):
Cd 0.9628 0.9628 0.9256  4 Sc 3.07, 4 Pm 3.39
Pm 0.2849 0.2849 0.5698  4 Cd 3.39, 4 Sc 3.43, 4 Pm 3.48
Sc 0.6023 0.6023 0.2046  4 Cd 3.07, 4 Pm 3.43

***

What should be chosen as the most stable of them? Choose arrangement R.

***

Arrangement P

Entry from the Alexandria database: a geometry-optimized PmCdSi structure (GGA-PBE).

Calculated values
As for the total magnetic moment: 0.000 μB/f.u. The value obtained for the density of states at the Fermi level is 0.61 states/eV per atom. The calculation puts the theoretical density at 6.7 g/cm3.

Cell lengths 3.8816, 4.2966, 8.7189 Å; angles 104.26, 90.00, 90.00 degrees
Last column: nearest neighbours and their distance in Å.
Positions (direct):
Si 0.7500 0.4570 0.9141  2 Si 2.42
Si 0.2500 0.5430 0.0859  2 Si 2.42
Cd 0.2500 0.7124 0.4248  1 Si 2.86, 4 Cd 3.16
Cd 0.7500 0.2876 0.5752  1 Si 2.86, 4 Cd 3.16
Pm 0.2500 0.9073 0.8145  6 Si 3.01-3.14, 1 Cd 3.29
Pm 0.7500 0.0927 0.1855  6 Si 3.01-3.14, 1 Cd 3.29

***

Arrangement Q

Entry from the Alexandria database: a geometry-optimized PmCdSi structure (GGA-PBE).

Calculated values
As for the total magnetic moment: 0.000 μB/f.u. The value obtained for the density of states at the Fermi level is 0.45 states/eV per atom. The calculation puts the theoretical density at 6.7 g/cm3.

Cell lengths 4.2054, 4.4090, 4.4090 Å; angles 120.00, 90.00, 90.00 degrees
Last column: nearest neighbours and their distance in Å.
Positions (direct):
Cd 0.1658 0.3333 0.6667  3 Si 2.55
Pm 0.6664 0.6667 0.3333  6 Si 3.30-3.31, 6 Cd 3.30
Si 0.1677 0.0000 0.0000  3 Cd 2.55

***

What should be chosen as the most stable of them? Choose arrangement P.

***

Arrangement P

Entry from the Alexandria database: a geometry-optimized PmCdSi structure (GGA-PBE).

Calculated values
As for the total magnetic moment: 0.000 μB/f.u. The value obtained for the density of states at the Fermi level is 0.39 states/eV per atom. The calculation puts the theoretical density at 6.3 g/cm3.

Cell lengths 4.7272, 4.7272, 4.7272 Å; angles 60.00, 60.00, 60.00 degrees
Last column: nearest neighbours and their distance in Å.
Positions (direct):
Pm 0.5000 0.5000 0.5000  4 Si 2.89
Si 0.2500 0.2500 0.2500  4 Cd 2.89, 4 Pm 2.89
Cd 0.0000 0.0000 0.0000  4 Si 2.89

***

Arrangement Q

Entry from the Alexandria database: a geometry-optimized PmCdSi structure (GGA-PBE).

Calculated values
As for the total magnetic moment: 0.000 μB/f.u. The value obtained for the density of states at the Fermi level is 0.46 states/eV per atom. The calculation puts the theoretical density at 6.3 g/cm3.

Cell lengths 5.0037, 5.2076, 7.0414 Å; angles 80.17, 69.19, 61.29 degrees
Last column: nearest neighbours and their distance in Å.
Positions (direct):
Si 0.2500 0.5000 0.5000  2 Si 2.50
Si 0.7500 0.5000 0.5000  2 Si 2.50
Cd 0.1672 0.6655 0.0000  3 Cd 2.92-3.06
Cd 0.8328 0.3345 0.0000  3 Cd 2.92-3.06
Pm 0.3621 0.0000 0.2757  4 Si 2.99
Pm 0.6379 0.0000 0.7243  4 Si 2.99

***

What should be chosen as the most stable of them? Choose arrangement P.

***

Arrangement P

Entry from the Alexandria database: a geometry-optimized Pm2SmCd4 structure (GGA-PBE).

Calculated values
As for the total magnetic moment: 0.404 μB/f.u. The value obtained for the density of states at the Fermi level is 0.73 states/eV per atom. The calculation puts the theoretical density at 7.1 g/cm3.

Cell lengths 5.3933, 5.3933, 8.0880 Å; angles 109.48, 109.48, 90.00 degrees
Last column: nearest neighbours and their distance in Å.
Positions (direct):
Cd 0.3868 0.8868 0.7737  2 Sm 3.14, 1 Cd 3.23, 4 Pm 3.24-3.42
Cd 0.6132 0.1132 0.2263  2 Sm 3.14, 1 Cd 3.23, 4 Pm 3.24-3.42
Cd 0.8868 0.3868 0.7737  2 Sm 3.14, 1 Cd 3.23, 4 Pm 3.24-3.42
Cd 0.1132 0.6132 0.2263  2 Sm 3.14, 1 Cd 3.23, 4 Pm 3.24-3.42
Sm 0.0000 0.0000 0.0000  8 Cd 3.14
Pm 0.2608 0.2608 0.5216  8 Cd 3.24-3.42
Pm 0.7392 0.7392 0.4784  8 Cd 3.24-3.42

***

Arrangement Q

Entry from the Alexandria database: a geometry-optimized Pm2SmCd4 structure (GGA-PBE).

Calculated values
As for the total magnetic moment: 0.001 μB/f.u. The value obtained for the density of states at the Fermi level is 1.16 states/eV per atom. The calculation puts the theoretical density at 7.1 g/cm3.

Cell lengths 5.9321, 5.9321, 7.2335 Å; angles 114.21, 114.21, 90.00 degrees
Last column: nearest neighbours and their distance in Å.
Positions (direct):
Cd 0.7500 0.2500 0.5000  2 Cd 2.95, 4 Pm 3.22
Cd 0.2500 0.7500 0.5000  2 Cd 2.95, 4 Pm 3.22
Cd 0.5000 0.0000 0.0000  2 Cd 2.95, 2 Sm 2.97
Cd 0.0000 0.5000 0.0000  2 Cd 2.95, 2 Sm 2.97
Pm 0.3570 0.3570 0.7139  8 Cd 3.22-3.41, 1 Pm 3.37
Pm 0.6430 0.6430 0.2861  8 Cd 3.22-3.41, 1 Pm 3.37
Sm 0.0000 0.0000 0.0000  4 Cd 2.97

***

What should be chosen as the most stable of them? Choose arrangement P.

***

Arrangement P

Entry from the Alexandria database: a geometry-optimized PmSmCd2 structure (GGA-PBE).

Calculated values
As for the total magnetic moment: 0.832 μB/f.u. The value obtained for the density of states at the Fermi level is 1.15 states/eV per atom. The calculation puts the theoretical density at 7.7 g/cm3.

Cell lengths 3.8511, 5.3851, 5.3851 Å; angles 90.00, 90.00, 90.00 degrees
Last column: nearest neighbours and their distance in Å.
Positions (direct):
Pm 0.5000 0.0000 0.0000  8 Cd 3.31
Cd 0.0000 0.5000 0.0000  4 Pm 3.31, 4 Sm 3.31
Cd 0.0000 0.0000 0.5000  4 Pm 3.31, 4 Sm 3.31
Sm 0.5000 0.5000 0.5000  8 Cd 3.31

***

Arrangement Q

Entry from the Alexandria database: a geometry-optimized PmSmCd2 structure (GGA-PBE).

Calculated values
As for the total magnetic moment: 0.000 μB/f.u. The value obtained for the density of states at the Fermi level is 0.94 states/eV per atom. The calculation puts the theoretical density at 7.3 g/cm3.

Cell lengths 3.6633, 3.6633, 10.4206 Å; angles 79.88, 79.88, 60.00 degrees
Last column: nearest neighbours and their distance in Å.
Positions (direct):
Pm 0.0000 0.0000 0.0000  6 Cd 3.32, 6 Pm 3.66
Sm 0.5000 0.5000 0.5000  6 Cd 3.30, 6 Sm 3.66
Cd 0.2496 0.2496 0.2513  3 Sm 3.30, 3 Pm 3.32, 6 Cd 3.66
Cd 0.7504 0.7504 0.7487  3 Sm 3.30, 3 Pm 3.32, 6 Cd 3.66

***

What should be chosen as the most stable of them? Choose arrangement P.

***

Arrangement P

Entry from the Alexandria database: a geometry-optimized Pm6SmCd2 structure (GGA-PBE).

Calculated values
As for the total magnetic moment: 0.000 μB/f.u. The value obtained for the density of states at the Fermi level is 1.26 states/eV per atom. The calculation puts the theoretical density at 7.3 g/cm3.

Cell lengths 6.2144, 9.7797, 9.7797 Å; angles 73.10, 85.23, 85.23 degrees
Last column: nearest neighbours and their distance in Å.
Positions (direct):
Pm 0.1884 0.9685 0.2683  2 Cd 3.20-3.42, 3 Pm 3.32-3.56, 2 Sm 3.49-3.50
Pm 0.6884 0.2683 0.9685  2 Cd 3.20-3.42, 3 Pm 3.32-3.56, 2 Sm 3.49-3.50
Pm 0.0093 0.5673 0.3188  3 Cd 3.23-3.46, 4 Pm 3.32-3.52
Pm 0.8358 0.6476 0.9012  3 Cd 3.33-3.41, 5 Pm 3.45-3.63, 1 Sm 3.54
Pm 0.6642 0.0988 0.3524  3 Cd 3.33-3.41, 5 Pm 3.45-3.63, 1 Sm 3.54
Pm 0.3358 0.9012 0.6476  3 Cd 3.33-3.41, 5 Pm 3.45-3.63, 1 Sm 3.54
Pm 0.8116 0.0315 0.7317  2 Cd 3.20-3.42, 3 Pm 3.32-3.56, 2 Sm 3.49-3.50
Pm 0.5093 0.3188 0.5673  3 Cd 3.23-3.46, 4 Pm 3.32-3.52
Pm 0.4907 0.6812 0.4327  3 Cd 3.23-3.46, 4 Pm 3.32-3.52
Pm 0.3116 0.7317 0.0315  2 Cd 3.20-3.42, 3 Pm 3.32-3.56, 2 Sm 3.49-3.50
Pm 0.1642 0.3524 0.0988  3 Cd 3.33-3.41, 5 Pm 3.45-3.63, 1 Sm 3.54
Pm 0.9907 0.4327 0.6812  3 Cd 3.23-3.46, 4 Pm 3.32-3.52
Cd 0.0934 0.2115 0.4605  8 Pm 3.20-3.46
Cd 0.9066 0.7885 0.5395  8 Pm 3.20-3.46
Cd 0.5934 0.4605 0.2115  8 Pm 3.20-3.46
Cd 0.4066 0.5395 0.7885  8 Pm 3.20-3.46
Sm 0.7500 0.8961 0.1039  10 Pm 3.49-3.82
Sm 0.2500 0.1039 0.8961  10 Pm 3.49-3.82

***

Arrangement Q

Entry from the Alexandria database: a geometry-optimized Pm6SmCd2 structure (GGA-PBE).

Calculated values
As for the total magnetic moment: 0.000 μB/f.u. The value obtained for the density of states at the Fermi level is 0.99 states/eV per atom. The calculation puts the theoretical density at 7.2 g/cm3.

Cell lengths 3.8281, 6.7252, 11.9978 Å; angles 75.58, 80.82, 73.46 degrees
Last column: nearest neighbours and their distance in Å.
Positions (direct):
Cd 0.3545 0.0858 0.2052  2 Sm 3.23, 6 Pm 3.27-3.35
Cd 0.6455 0.9142 0.7948  2 Sm 3.23, 6 Pm 3.27-3.35
Pm 0.9812 0.6988 0.3387  2 Cd 3.27, 7 Pm 3.59-3.66
Pm 0.6887 0.2095 0.4131  2 Cd 3.35, 8 Pm 3.55-3.66
Pm 0.6845 0.5074 0.1235  2 Cd 3.30, 5 Pm 3.52-3.61
Pm 0.3155 0.4926 0.8765  2 Cd 3.30, 5 Pm 3.52-3.61
Pm 0.3113 0.7905 0.5869  2 Cd 3.35, 8 Pm 3.55-3.66
Pm 0.0188 0.3012 0.6613  2 Cd 3.27, 7 Pm 3.59-3.66
Sm 0.0000 0.0000 0.0000  4 Cd 3.23

***

What should be chosen as the most stable of them? Choose arrangement Q.

***

Arrangement P

Entry from the Alexandria database: a geometry-optimized Pm6SmCd structure (GGA-PBE).

Calculated values
As for the total magnetic moment: 0.000 μB/f.u. The value obtained for the density of states at the Fermi level is 1.41 states/eV per atom. The calculation puts the theoretical density at 7.3 g/cm3.

Cell lengths 5.0127, 5.0127, 10.9024 Å; angles 76.71, 76.71, 90.00 degrees
Last column: nearest neighbours and their distance in Å.
Positions (direct):
Pm 0.7477 0.7477 0.5046  12 Pm 3.55-3.68
Pm 0.1217 0.6217 0.7567  8 Pm 3.54-3.68, 2 Cd 3.55, 2 Sm 3.55
Pm 0.3784 0.8784 0.2433  8 Pm 3.54-3.68, 2 Cd 3.55, 2 Sm 3.55
Pm 0.2523 0.2523 0.4954  12 Pm 3.55-3.68
Pm 0.8783 0.3783 0.2433  8 Pm 3.54-3.68, 2 Cd 3.55, 2 Sm 3.55
Pm 0.6216 0.1216 0.7567  8 Pm 3.54-3.68, 2 Cd 3.55, 2 Sm 3.55
Cd 0.0000 0.0000 0.0000  4 Sm 3.54, 8 Pm 3.55
Sm 0.5000 0.5000 0.0000  4 Cd 3.54, 8 Pm 3.55

***

Arrangement Q

Entry from the Alexandria database: a geometry-optimized Pm6SmCd structure (GGA-PBE).

Calculated values
As for the total magnetic moment: 0.000 μB/f.u. The value obtained for the density of states at the Fermi level is 1.43 states/eV per atom. The calculation puts the theoretical density at 7.2 g/cm3.

Cell lengths 6.7243, 6.7243, 9.4659 Å; angles 110.90, 110.90, 119.86 degrees
Last column: nearest neighbours and their distance in Å.
Positions (direct):
Pm 0.1661 0.1661 0.7442  1 Cd 3.27, 1 Sm 3.31, 6 Pm 3.41-3.56
Pm 0.7426 0.3203 0.7441  1 Cd 3.28, 1 Sm 3.31, 6 Pm 3.41-3.56
Pm 0.6797 0.2574 0.2559  1 Cd 3.28, 1 Sm 3.31, 6 Pm 3.41-3.56
Pm 0.3203 0.7426 0.7441  1 Cd 3.28, 1 Sm 3.31, 6 Pm 3.41-3.56
Pm 0.2574 0.6797 0.2559  1 Cd 3.28, 1 Sm 3.31, 6 Pm 3.41-3.56
Pm 0.8339 0.8339 0.2558  1 Cd 3.27, 1 Sm 3.31, 6 Pm 3.41-3.56
Cd 0.5000 0.5000 0.5000  6 Pm 3.27-3.28, 2 Sm 3.32
Sm 0.0000 0.0000 0.0000  6 Pm 3.31, 2 Cd 3.32

***

What should be chosen as the most stable of them? Choose arrangement P.